(1)
A plane-wave DFT calculation with PBE-GGA was carried out for an optimized crystal structure of PuMgAs.

For the total DFT energy (no corrections), the calculation gives -7.225 eV/atom. For the density, the calculation gives 7654 kg/m3. The calculated volume comes out at 297.9 Å³ per cell.

It has space group F-43m (No. 216), with a = 6.678 Å, b = 6.678 Å, c = 6.678 Å, α = 90.00°, β = 90.00° and γ = 90.00°. Symmetry generates all atoms from Pu at (0.000, 0.000, 0.000), Mg at (0.000, 0.000, 0.500) and As at (0.250, 0.250, 0.750).

***

(2)
A plane-wave DFT calculation with PBE-GGA was carried out for an optimized crystal structure of Mg2ReSiAs4.

For the total DFT energy (no corrections), the calculation gives -4.963 eV/atom. For the density, the calculation gives 4724 kg/m3. The calculated volume comes out at 395.5 Å³ per cell.

It has space group I-4 (No. 82), with a = 5.962 Å, b = 5.962 Å, c = 11.129 Å, α = 90.00°, β = 90.00° and γ = 90.00°. Symmetry generates all atoms from Mg at (0.000, 0.000, 0.000), Mg at (0.000, 0.500, 0.250), Re at (0.000, 0.500, 0.750), Si at (0.000, 0.000, 0.500) and As at (0.212, 0.749, 0.626).